(1)
Compound: La4SmCd2
Source: Alexandria
Functional: PBE
Structure: optimized geometry

Calculated values
ΔH_f (0 K) ... 0.141 eV per atom
Magnetization ... 0.0 Bohr magnetons per cell
Space group ... No. 139
Uncorrected energy ... -0.1327 Ha/atom

a b c (Å): 6.0621 6.0621 7.7795
angles (deg): 112.93 112.93 90.00
Positions (direct):
1 La 0.7500 0.2500 0.5000
2 La 0.2500 0.7500 0.5000
3 La 0.5000 0.0000 0.0000
4 La 0.0000 0.5000 0.0000
5 Sm 0.0000 0.0000 0.0000
6 Cd 0.6266 0.6266 0.2532
7 Cd 0.3734 0.3734 0.7468


(2)
Compound: La4Sm2Cd
Source: Alexandria
Functional: PBE
Structure: optimized geometry

Calculated values
ΔH_f (0 K) ... -0.024 eV per atom
Polymorph energy (0 for the lowest one) ... 0.00 kcal/mol of atoms
Magnetization ... 0.0 Bohr magnetons per cell
Space group ... No. 65
Uncorrected energy ... -0.1587 Ha/atom

a b c (Å): 3.7005 3.6663 17.8464
angles (deg): 90.00 95.95 90.00
Positions (direct):
1 Cd 0.5000 0.0000 0.0000
2 Sm 0.7924 0.5000 0.5848
3 Sm 0.2076 0.5000 0.4152
4 La 0.9380 0.5000 0.8759
5 La 0.6373 0.0000 0.2746
6 La 0.0620 0.5000 0.1241
7 La 0.3627 0.0000 0.7254


(3)
Compound: La2Sm7Cd2
Source: Alexandria
Functional: PBE
Structure: optimized geometry

Calculated values
ΔH_f (0 K) ... -0.043 eV per atom
Magnetization ... 0.0 Bohr magnetons per cell
Space group ... No. 12
Uncorrected energy ... -0.1510 Ha/atom

a b c (Å): 8.7703 6.6060 6.6060
angles (deg): 97.56 77.14 77.14
Positions (direct):
1 La 0.5000 0.3208 0.6792
2 La 0.5000 0.6792 0.3208
3 Sm 0.1713 0.1231 0.4742
4 Sm 0.8287 0.5258 0.8769
5 Sm 0.8287 0.8769 0.5258
6 Sm 0.1713 0.4742 0.1231
7 Sm 0.0000 0.0000 0.0000
8 Sm 0.4113 0.8660 0.8660
9 Sm 0.5887 0.1340 0.1340
10 Cd 0.8342 0.3795 0.3795
11 Cd 0.1658 0.6205 0.6205


(4)
Compound: La5Sm2Cd
Source: Alexandria
Functional: PBE
Structure: optimized geometry

Calculated values
ΔH_f (0 K) ... -0.057 eV per atom
Polymorph energy (0 for the lowest one) ... 0.00 kcal/mol of atoms
Magnetization ... 0.0 Bohr magnetons per cell
Space group ... No. 8
Uncorrected energy ... -0.1628 Ha/atom

a b c (Å): 7.3562 7.3570 6.8639
angles (deg): 105.47 105.47 120.14
Positions (direct):
1 La 0.2351 0.3214 0.5010
2 La 0.3414 0.7572 0.0000
3 La 0.7992 0.2148 0.0002
4 La 0.7340 0.8202 0.4988
5 La 0.3317 0.2224 0.0000
6 Sm 0.2151 0.8107 0.4696
7 Sm 0.7455 0.3409 0.5306
8 Cd 0.8210 0.7354 0.9999